First-principles (PBE) data for crystalline BeNbRu2 at its relaxed geometry, as listed in the Alexandria database.

POSCAR file:
```
BeNbRu2
1.0
3.071 0.000 0.000
0.000 3.071 0.000
0.000 0.000 5.831
Nb Ru Be
1 2 1
Direct
0.500 0.500 0.500
0.000 0.000 0.773
0.000 0.000 0.227
0.500 0.500 0.000
```

Summary:
The calculation puts the total DFT energy (no corrections) at -8.389 eV/atom. Its spin magnetization is 0.00 μB/cell. Its formation energy is -0.30 eV per atom. As for the space-group type: No. 123.